This record from the Alexandria database describes a relaxed SrMoS2Cl crystal. The functional is GGA-PBE.

Results
Density of states at the Fermi level, states/eV/f.u.: 3.94
E above lowest polymorph, eV/atom: 1.391
Density, g/cm3: 2.81
Raw formation energy, meV/atom: 413.6

Lattice parameters (Å, degrees): 5.5981 5.5981 5.3431 90.00 90.00 90.00
Atoms (fractional coordinates):
Sr  0.0000  0.0000  0.0000
Mo  0.5000  0.5000  0.5000
S  0.0000  0.5000  0.0000
S  0.5000  0.0000  0.0000
Cl  0.0000  0.0000  0.5000


This record from the Alexandria database describes a relaxed TaMoSCl2 crystal. The functional is GGA-PBE.

Results
Density of states at the Fermi level, states/eV/f.u.: 2.69
E above lowest polymorph, eV/atom: 0.000
Density, g/cm3: 5.52
Raw formation energy, meV/atom: 377.9

Lattice parameters (Å, degrees): 4.8593 4.8593 4.8374 90.00 90.00 90.00
Atoms (fractional coordinates):
Ta  0.0000  0.0000  0.0000
Mo  0.5000  0.5000  0.5000
S  0.0000  0.0000  0.5000
Cl  0.0000  0.5000  0.0000
Cl  0.5000  0.0000  0.0000


This record from the Alexandria database describes a relaxed TaMoSCl2 crystal. The functional is GGA-PBE.

Results
Density of states at the Fermi level, states/eV/f.u.: 6.23
E above lowest polymorph, eV/atom: 0.462
Density, g/cm3: 5.74
Raw formation energy, meV/atom: 839.7

Lattice parameters (Å, degrees): 4.7796 4.7796 4.8119 90.00 90.00 90.00
Atoms (fractional coordinates):
Ta  0.0000  0.0000  0.0000
Mo  0.5000  0.5000  0.5000
S  0.5000  0.5000  0.0000
Cl  0.0000  0.5000  0.5000
Cl  0.5000  0.0000  0.5000


This record from the Alexandria database describes a relaxed TcMoS2Cl crystal. The functional is GGA-PBE.

Results
Density of states at the Fermi level, states/eV/f.u.: 3.68
E above lowest polymorph, eV/atom: 0.000
Density, g/cm3: 4.55
Raw formation energy, meV/atom: 623.4

Lattice parameters (Å, degrees): 4.6538 4.6538 4.9470 90.00 90.00 90.00
Atoms (fractional coordinates):
Tc  0.0000  0.0000  0.0000
Mo  0.5000  0.5000  0.5000
S  0.0000  0.5000  0.5000
S  0.5000  0.0000  0.5000
Cl  0.5000  0.5000  0.0000


Which value of density does entry 4 give?
4.55 g/cm3


What is the E above lowest polymorph in the fourth record?
0.000 eV/atom


What is the density of states at the Fermi level in the third record?
6.23 states/eV/f.u.